Entry 1:
This record from Alexandria via LeMat-Bulk describes a geometry-optimized PmEr2Pt3 structure. The functional is GGA-PBE.

CIF file:
```
data_PmEr2Pt3
_chemical_formula_sum 'Pm2 Er4 Pt6'
_cell_length_a 4.100
_cell_length_b 5.770
_cell_length_c 12.190
_cell_angle_alpha 90.00
_cell_angle_beta 90.00
_cell_angle_gamma 90.00
_space_group_name_H-M_alt 'I m m m'
_space_group_IT_number 71
_space_group_name_Hall '-I 2 2'
loop_
_atom_site_label
_atom_site_type_symbol
_atom_site_fract_x
_atom_site_fract_y
_atom_site_fract_z
_atom_site_occupancy
Pm1 Pm 0.000 0.000 0.000 1
Er1 Er 0.000 0.000 0.335 1
Pt1 Pt 0.000 0.500 0.000 1
Pt2 Pt 0.000 0.500 0.326 1
```

Output
calculated volume: 288.4 Å³/cell
total magnetic moment: 0.00 μB per cell
DFT formation energy: -1.116 eV/atom



Entry 2:
This record from Alexandria via LeMat-Bulk describes a geometry-optimized PmErPt4 structure. The functional is GGA-PBE.

CIF file:
```
data_PmErPt4
_chemical_formula_sum 'Pm4 Er4 Pt16'
_cell_length_a 7.719
_cell_length_b 7.719
_cell_length_c 7.719
_cell_angle_alpha 90.00
_cell_angle_beta 90.00
_cell_angle_gamma 90.00
_space_group_name_H-M_alt 'F -4 3 m'
_space_group_IT_number 216
_space_group_name_Hall 'F -4 2 3'
loop_
_atom_site_label
_atom_site_type_symbol
_atom_site_fract_x
_atom_site_fract_y
_atom_site_fract_z
_atom_site_occupancy
Pm1 Pm 0.000 0.000 0.000 1
Er1 Er 0.250 0.250 0.750 1
Pt1 Pt 0.125 0.125 0.375 1
```

Output
calculated volume: 459.9 Å³/cell
total magnetic moment: 0.00 μB per cell
DFT formation energy: -1.103 eV/atom



Entry 3:
This record from Alexandria via LeMat-Bulk describes a geometry-optimized Pm3ErPt8 structure. The functional is GGA-PBE.

CIF file:
```
data_Pm3ErPt8
_chemical_formula_sum 'Pm9 Er3 Pt24'
_cell_length_a 5.4782
_cell_length_b 5.4782
_cell_length_c 26.8534
_cell_angle_alpha 90.00
_cell_angle_beta 90.00
_cell_angle_gamma 120.00
_space_group_name_H-M_alt 'R 3 m'
_space_group_IT_number 160
_space_group_name_Hall 'R 3 -2"'
loop_
_atom_site_label
_atom_site_type_symbol
_atom_site_fract_x
_atom_site_fract_y
_atom_site_fract_z
_atom_site_occupancy
Pm1 Pm 0.0000 0.0000 0.0000 1
Pm2 Pm 0.0000 0.0000 0.1257 1
Pm3 Pm 0.0000 0.0000 0.6240 1
Er1 Er 0.0000 0.0000 0.4994 1
Pt1 Pt 0.0000 0.0000 0.3125 1
Pt2 Pt 0.0000 0.0000 0.8126 1
Pt3 Pt 0.9997 0.4998 0.5617 1
Pt4 Pt 0.0013 0.5007 0.0631 1
```

Output
calculated volume: 697.9 Å³/cell
total magnetic moment: 0.00 μB per cell
DFT formation energy: -1.090 eV/atom



- What is the formula in the first record?
  PmEr2Pt3



Please write out number 1 again, unchanged.
This record from Alexandria via LeMat-Bulk describes a geometry-optimized PmEr2Pt3 structure. The functional is GGA-PBE.

CIF file:
```
data_PmEr2Pt3
_chemical_formula_sum 'Pm2 Er4 Pt6'
_cell_length_a 4.100
_cell_length_b 5.770
_cell_length_c 12.190
_cell_angle_alpha 90.00
_cell_angle_beta 90.00
_cell_angle_gamma 90.00
_space_group_name_H-M_alt 'I m m m'
_space_group_IT_number 71
_space_group_name_Hall '-I 2 2'
loop_
_atom_site_label
_atom_site_type_symbol
_atom_site_fract_x
_atom_site_fract_y
_atom_site_fract_z
_atom_site_occupancy
Pm1 Pm 0.000 0.000 0.000 1
Er1 Er 0.000 0.000 0.335 1
Pt1 Pt 0.000 0.500 0.000 1
Pt2 Pt 0.000 0.500 0.326 1
```

Output
calculated volume: 288.4 Å³/cell
total magnetic moment: 0.00 μB per cell
DFT formation energy: -1.116 eV/atom



- Which value of total magnetic moment does entry 2 give?
  0.00 μB per cell